1.
6
Lattice="2.9681 0.0000 0.0000 0.0000 2.9681 0.0000 0.0000 0.0000 11.4937" Properties=species:S:1:pos:R:3 comment="GGA-PBE TlPt5, relaxed" volume_a3_per_atom=16.88 magnetic_moment_mub_per_cell=0.0 n_ef_per_ev_atom=1.223 crystal_system=tetragonal delta_e_f_mev_per_atom=87 pbc="T T T"
Tl 1.4841 1.4841 0.0000
Pt 0.0000 0.0000 9.4080
Pt 0.0000 0.0000 2.0857
Pt 1.4841 1.4841 7.5357
Pt 1.4841 1.4841 3.9581
Pt 0.0000 0.0000 5.7469

---

2.
4
Lattice="-0.6029 -2.6027 0.9185 1.2689 0.2632 -2.5103 9.4302 -0.5215 4.7121" Properties=species:S:1:pos:R:3 comment="GGA-PBE Re2AuBr, relaxed" volume_a3_per_atom=18.58 magnetic_moment_mub_per_cell=0.0 polymorph_energy_ev_per_fu=0.00 n_ef_per_ev_atom=0.832 crystal_system=orthorhombic formation_energy_uncorrected_ev_per_atom=0.68 pbc="T T T"
Re 0.2661 -0.0147 0.1329
Re 2.4583 -1.2873 0.2660
Au 4.3977 -0.2432 2.1974
Br 7.6893 -1.5765 2.8799